This record from the Alexandria database describes an optimized crystal structure of Hf6AlP. The functional is GGA-PBE.

a b c (Å): 5.838 5.838 5.838
angles (deg): 103.69 103.69 103.69
Atoms (fractional coordinates):
Hf 0.356 0.785 0.785
Hf 0.644 0.215 0.215
Hf 0.785 0.356 0.785
Hf 0.215 0.215 0.644
Hf 0.215 0.644 0.215
Hf 0.785 0.785 0.356
Al 0.000 0.000 0.000
P 0.500 0.500 0.500

Summary:
* calculated formation energy: -0.17 eV per atom

***

This record from the Alexandria database describes an optimized crystal structure of UTl2Au2S6. The functional is GGA-PBE.

a b c (Å): 7.301 7.301 6.615
angles (deg): 90.00 90.00 120.00
Atoms (fractional coordinates):
Tl 0.333 0.667 0.270
Tl 0.667 0.333 0.730
S 0.225 0.922 0.757
S 0.775 0.078 0.243
S 0.697 0.775 0.757
S 0.078 0.303 0.757
S 0.303 0.225 0.243
S 0.922 0.697 0.243
Au 0.667 0.333 0.216
Au 0.333 0.667 0.784
U 0.000 0.000 0.000

Summary:
* E_form (uncorrected): -0.360 eV/atom

***

This record from the Alexandria database describes an optimized crystal structure of CuI3F. The functional is GGA-PBE.

a b c (Å): 5.292 5.292 5.292
angles (deg): 90.00 90.00 90.00
Atoms (fractional coordinates):
F 0.500 0.500 0.500
I 0.000 0.500 0.000
I 0.500 0.000 0.000
I 0.000 0.000 0.500
Cu 0.000 0.000 0.000

Summary:
* E_form (uncorrected): 0.117 eV/atom
* energy above the lowest structure with this stoichiometry: 0.348 eV per atom

***

Number 1: size of the total moment 0.000 μB per formula unit, total DFT energy (no corrections) -70.2 eV/cell. Number 2: size of the total moment 0.000 μB per formula unit, total DFT energy (no corrections) -51.3 eV/cell. Number 3: size of the total moment 0.819 μB per formula unit, total DFT energy (no corrections) -10.0 eV/cell.